No. 1
The following is a DFT calculation (GGA-PBE) of a relaxed structure of SrPbW.

```
SrPbW
1.0
0.000 3.620 3.620
3.620 0.000 3.620
3.620 3.620 0.000
W Sr Pb
1 1 1
Cartesian
0.000 0.000 0.000 W
5.430 5.430 5.430 Sr
1.810 1.810 1.810 Pb
```

Summary:
electronic total energy	-14.76	eV per formula unit
excess energy over the best structure of this formula in the dataset	0	meV per atom
space group	F-43m (216)

---

No. 2
The following is a DFT calculation (GGA-PBE) of a relaxed structure of SrPbW.

```
SrPbW
1.0
0.132 -5.201 -0.455
1.471 -2.939 4.058
-3.517 -2.930 2.512
Pb Sr W
1 1 1
Cartesian
-0.479 -2.768 1.529 Pb
0.000 0.000 0.000 Sr
-1.436 -8.303 4.587 W
```

Summary:
electronic total energy	-13.17	eV per formula unit
excess energy over the best structure of this formula in the dataset	529	meV per atom
space group	F-43m (216)

---

No. 3
The following is a DFT calculation (GGA-PBE) of a relaxed structure of Sr2ZnPb.

```
Sr2ZnPb
1.0
-0.741 2.528 5.051
-4.997 -0.442 2.701
-0.413 -3.150 4.729
Sr Pb Zn
2 1 1
Cartesian
0.000 0.000 0.000 Sr
-4.613 -0.798 9.361 Sr
-3.075 -0.532 6.241 Pb
-1.538 -0.266 3.120 Zn
```

Summary:
electronic total energy	-8.59	eV per formula unit
space group	F-43m (216)

---

No. 4
The following is a DFT calculation (GGA-PBE) of a relaxed structure of TaPb.

```
TaPb
1.0
3.242 0.000 0.000
-1.621 2.807 0.000
0.000 0.000 4.716
Ta Pb
1 1
Cartesian
0.000 1.871 1.179 Ta
1.621 0.936 3.537 Pb
```

Summary:
electronic total energy	-14.31	eV per formula unit
excess energy over the best structure of this formula in the dataset	0	meV per atom
space group	P-6m2 (187)

---

No. 5
The following is a DFT calculation (GGA-PBE) of a relaxed structure of Ta2Pb.

```
Ta2Pb
1.0
0.926 2.941 8.483
1.313 -5.900 6.703
8.033 -0.471 4.088
Ta Pb
4 2
Cartesian
4.315 0.184 11.469 Ta
4.509 -4.236 10.580 Ta
3.852 -1.286 7.228 Ta
7.869 -1.521 9.272 Ta
5.136 -1.715 9.637 Pb
2.568 -0.857 4.819 Pb
```

Summary:
electronic total energy	-15.25	eV per formula unit
space group	Fd-3m (227)

---

No. 6
The following is a DFT calculation (GGA-PBE) of a relaxed structure of Ta2Pb.

```
Ta2Pb
1.0
4.466 1.741 2.998
0.266 5.342 1.832
-0.561 1.130 5.511
Pb Ta
2 4
Cartesian
0.000 0.000 0.000 Pb
1.043 2.053 2.585 Pb
2.474 2.462 5.547 Ta
0.374 4.263 4.964 Ta
2.607 5.133 6.463 Ta
2.888 4.568 3.707 Ta
```

Summary:
electronic total energy	-25.80	eV per formula unit
space group	Fd-3m (227)

---

No. 7
The following is a DFT calculation (GGA-PBE) of a relaxed structure of Ta5Pb3.

```
Ta5Pb3
1.0
-6.441 -1.559 5.262
2.115 -5.823 -5.765
3.430 -2.249 3.531
Ta Pb
10 6
Cartesian
1.575 -6.706 -3.730 Ta
-0.697 -4.422 -2.141 Ta
-2.813 -6.829 0.457 Ta
-5.110 -3.375 4.885 Ta
4.214 -6.256 -1.857 Ta
-3.629 -2.961 1.638 Ta
1.017 -5.546 -0.374 Ta
1.918 -2.802 2.571 Ta
-2.471 -2.925 6.759 Ta
-1.913 -4.086 3.403 Ta
3.387 -4.025 0.367 Pb
-0.856 -3.487 0.684 Pb
-4.283 -5.606 2.662 Pb
0.005 -2.340 4.726 Pb
-0.901 -7.292 -1.697 Pb
-0.039 -6.145 2.345 Pb
```

Summary:
electronic total energy	-66.09	eV per formula unit
space group	Cmcm (63)

---

No. 8
The following is a DFT calculation (GGA-PBE) of a relaxed structure of TaPb.

```
TaPb
1.0
-1.633 -4.136 -0.824
-2.996 -1.855 2.835
-4.306 -0.517 -1.282
Ta Pb
1 1
Cartesian
-2.234 -1.627 0.182 Ta
0.000 0.000 0.000 Pb
```

Summary:
electronic total energy	-11.75	eV per formula unit
excess energy over the best structure of this formula in the dataset	1279	meV per atom
space group	F-43m (216)

---

No. 9
The following is a DFT calculation (GGA-PBE) of a relaxed structure of TaTcPb2.

```
TaTcPb2
1.0
0.000 3.472 3.472
3.472 0.000 3.472
3.472 3.472 0.000
Pb Tc Ta
2 1 1
Cartesian
3.472 3.472 3.472 Pb
1.736 1.736 1.736 Pb
0.000 0.000 0.000 Tc
5.208 5.208 5.208 Ta
```

Summary:
electronic total energy	-26.73	eV per formula unit
space group	F-43m (216)

---

No. 10
The following is a DFT calculation (GGA-PBE) of a relaxed structure of Ta2TcPb.

```
Ta2TcPb
1.0
0.000 3.324 3.324
3.324 0.000 3.324
3.324 3.324 0.000
Pb Ta Tc
1 2 1
Cartesian
3.324 3.324 3.324 Pb
4.986 4.986 4.986 Ta
0.000 0.000 0.000 Ta
1.662 1.662 1.662 Tc
```

Summary:
electronic total energy	-36.04	eV per formula unit
space group	F-43m (216)

---

No. 11
The following is a DFT calculation (GGA-PBE) of a relaxed structure of TaTePb.

```
TaTePb
1.0
-3.833 -2.075 -2.262
-4.574 1.127 1.387
-2.865 2.691 -2.943
Pb Ta Te
1 1 1
Cartesian
-2.818 0.436 -0.954 Pb
-8.454 1.308 -2.863 Ta
0.000 0.000 0.000 Te
```

Summary:
electronic total energy	-15.67	eV per formula unit
excess energy over the best structure of this formula in the dataset	401	meV per atom
space group	F-43m (216)

---

No. 12
The following is a DFT calculation (GGA-PBE) of a relaxed structure of Ta3Te6Pb.

```
Ta3Te6Pb
1.0
5.613 -3.241 0.000
5.613 3.241 0.000
0.000 0.000 16.637
Te Pb Ta
12 2 6
Cartesian
3.717 2.145 2.361 Te
3.717 -2.145 14.276 Te
5.613 -1.052 5.957 Te
5.613 1.052 10.680 Te
3.717 2.145 5.958 Te
5.613 -1.052 2.361 Te
7.509 2.145 2.361 Te
3.717 -2.145 10.680 Te
5.613 1.052 14.276 Te
7.509 -2.145 14.276 Te
7.509 -2.145 10.680 Te
7.509 2.145 5.958 Te
0.000 0.000 0.000 Pb
0.000 0.000 8.319 Pb
7.484 -0.001 4.159 Ta
5.613 3.240 4.159 Ta
3.742 0.001 12.478 Ta
5.613 -3.240 12.478 Ta
7.484 0.001 12.478 Ta
3.742 -0.001 4.159 Ta
```

Summary:
electronic total energy	-61.27	eV per formula unit
space group	P6_3/mcm (193)

---

> Among the records above, which one has the lowest electronic total energy?

Ta5Pb3

---

> What is the formula in the eighth record?

TaPb